Computed, not measured: crystalline CoOs3 at its relaxed geometry at the PBE level of DFT.

Properties
For the spin magnetization, the calculation gives 2.4 μB/cell. The density of states at the Fermi level comes out at 1.66 states/eV per atom. The total energy comes out at -9.477 eV per atom.

a = 5.0016 Å, b = 5.0016 Å, c = 5.0016 Å
α = 116.88°, β = 116.88°, γ = 116.88°
Fractional positions:
Co: 0.0000 0.0000 0.0000
Os: 0.0000 0.5000 0.5000
Os: 0.5000 0.0000 0.5000
Os: 0.5000 0.5000 0.0000